Record 1
NpTcP: optimized geometry, PBE-GGA.

abc: 3.947 4.278 6.063
angles: 90.00 108.96 90.00
Fractional coordinates of all 6 atoms:
Np1 0.055 0.250 0.113
Np2 0.945 0.750 0.887
Tc1 0.253 0.750 0.506
Tc2 0.747 0.250 0.494
P1 0.363 0.250 0.727
P2 0.637 0.750 0.273

Output
Symmetry   P2_1/m (11)
ΔE to the lowest computed polymorph   97 meV per atom
Magnetic moment   1.340 μB/f.u.
DOS at the Fermi energy   1.3551 states/eV per atom

=====

Record 2
NpTcP: optimized geometry, PBE-GGA.

abc: 4.219 4.219 3.398
angles: 90.00 90.00 120.00
Fractional coordinates of all 3 atoms:
Np1 0.000 0.000 0.000
Tc1 0.333 0.667 0.500
P1 0.667 0.333 0.500

Output
Symmetry   P-6m2 (187)
ΔE to the lowest computed polymorph   213 meV per atom
Magnetic moment   2.107 μB/f.u.
DOS at the Fermi energy   1.7308 states/eV per atom

=====

Record 3
NpTcP: optimized geometry, PBE-GGA.

abc: 4.919 4.919 4.919
angles: 136.23 136.23 63.62
Fractional coordinates of all 3 atoms:
Np1 0.000 0.000 0.000
Tc1 0.399 0.399 0.000
P1 0.680 0.680 0.000

Output
Symmetry   I4mm (107)
ΔE to the lowest computed polymorph   691 meV per atom
Magnetic moment   2.328 μB/f.u.
DOS at the Fermi energy   2.3993 states/eV per atom

=====

Record 4
NpTcP2: optimized geometry, PBE-GGA.

abc: 17.663 3.619 4.107
angles: 90.00 90.00 90.00
Fractional coordinates of all 16 atoms:
Np1 0.112 0.250 0.175
Np2 0.388 0.750 0.675
Np3 0.612 0.250 0.325
Np4 0.888 0.750 0.825
Tc1 0.241 0.750 0.177
Tc2 0.259 0.250 0.677
Tc3 0.741 0.750 0.323
Tc4 0.759 0.250 0.823
P1 0.005 0.250 0.682
P2 0.164 0.750 0.679
P3 0.336 0.250 0.179
P4 0.495 0.750 0.182
P5 0.505 0.250 0.818
P6 0.664 0.750 0.821
P7 0.836 0.250 0.321
P8 0.995 0.750 0.318

Output
Symmetry   Pnma (62)
ΔE to the lowest computed polymorph   209 meV per atom
Magnetic moment   0.000 μB/f.u.
DOS at the Fermi energy   1.2981 states/eV per atom

=====

Record 5
NpTc5P3: optimized geometry, PBE-GGA.

abc: 6.581 6.581 11.653
angles: 90.00 90.00 145.42
Fractional coordinates of all 18 atoms:
Np1 0.168 0.832 0.750
Np2 0.832 0.168 0.250
Tc1 0.000 0.000 0.000
Tc2 0.000 0.000 0.500
Tc3 0.201 0.799 0.052
Tc4 0.201 0.799 0.448
Tc5 0.435 0.565 0.649
Tc6 0.435 0.565 0.851
Tc7 0.565 0.435 0.149
Tc8 0.565 0.435 0.351
Tc9 0.799 0.201 0.552
Tc10 0.799 0.201 0.948
P1 0.147 0.853 0.250
P2 0.390 0.610 0.067
P3 0.390 0.610 0.433
P4 0.610 0.390 0.567
P5 0.610 0.390 0.933
P6 0.853 0.147 0.750

Output
Symmetry   Cmcm (63)
Magnetic moment   4.144 μB/f.u.
DOS at the Fermi energy   1.6547 states/eV per atom
DFT total energy   -9.290 eV per atom

=====

Record 6
Np2Tc12P7: optimized geometry, PBE-GGA.

abc: 10.653 10.653 3.112
angles: 90.00 90.00 120.00
Fractional coordinates of all 21 atoms:
Np1 0.333 0.667 0.247
Np2 0.667 0.333 0.753
Tc1 0.078 0.447 0.751
Tc2 0.120 0.864 0.255
Tc3 0.136 0.256 0.255
Tc4 0.256 0.120 0.745
Tc5 0.369 0.922 0.751
Tc6 0.447 0.369 0.249
Tc7 0.553 0.631 0.751
Tc8 0.631 0.078 0.249
Tc9 0.744 0.880 0.255
Tc10 0.864 0.744 0.745
Tc11 0.880 0.136 0.745
Tc12 0.922 0.553 0.249
P1 0.000 0.000 0.500
P2 0.116 0.694 0.749
P3 0.306 0.422 0.749
P4 0.422 0.116 0.251
P5 0.578 0.884 0.749
P6 0.694 0.578 0.251
P7 0.884 0.306 0.251

Output
Symmetry   P-3 (147)
Magnetic moment   5.286 μB/f.u.
DOS at the Fermi energy   1.0854 states/eV per atom
DFT total energy   -9.378 eV per atom

=====

Record 7
NpTc4P3: optimized geometry, PBE-GGA.

abc: 4.052 4.052 7.619
angles: 90.00 90.00 90.00
Fractional coordinates of all 8 atoms:
Np1 0.000 0.000 0.000
Tc1 0.000 0.500 0.317
Tc2 0.000 0.500 0.683
Tc3 0.500 0.000 0.317
Tc4 0.500 0.000 0.683
P1 0.000 0.000 0.500
P2 0.500 0.500 0.157
P3 0.500 0.500 0.843

Output
Symmetry   P4/mmm (123)
Magnetic moment   2.591 μB/f.u.
DOS at the Fermi energy   2.2007 states/eV per atom
DFT total energy   -9.244 eV per atom

=====

Record 8
NpTcP2: optimized geometry, PBE-GGA.

abc: 6.517 6.517 6.517
angles: 32.61 32.61 32.61
Fractional coordinates of all 4 atoms:
Np1 0.000 0.000 0.000
Tc1 0.824 0.824 0.824
P1 0.429 0.429 0.429
P2 0.562 0.562 0.562

Output
Symmetry   R3m (160)
ΔE to the lowest computed polymorph   126 meV per atom
Magnetic moment   4.528 μB/f.u.
DOS at the Fermi energy   1.7300 states/eV per atom